#w
# Pm3Dy3Y8, optimized geometry, DFT PBE
data_Pm3Dy3Y8
_space_group_name_H-M_alt 'I m m m'
_space_group_IT_number 71
_space_group_name_Hall '-I 2 2'
_cell_length_a 5.6745
_cell_length_b 10.7579
_cell_length_c 15.1707
_cell_angle_alpha 90.00
_cell_angle_beta 90.00
_cell_angle_gamma 90.00
loop_
_atom_site_label
_atom_site_type_symbol
_atom_site_fract_x
_atom_site_fract_y
_atom_site_fract_z
Pm1 Pm 0.0000 0.0000 0.0000
Pm2 Pm 0.0000 0.3038 0.0000
Dy1 Dy 0.0000 0.0000 0.5000
Dy2 Dy 0.0000 0.5000 0.1846
Y1 Y 0.0000 0.1591 0.2218
Y2 Y 0.0000 0.3400 0.3965
# * calculated density: 5.86 Mg/m³

=====

#x
# Pm3Dy3Y8, optimized geometry, DFT PBE
data_Pm3Dy3Y8
_space_group_name_H-M_alt 'I m m m'
_space_group_IT_number 71
_space_group_name_Hall '-I 2 2'
_cell_length_a 5.6846
_cell_length_b 10.8311
_cell_length_c 15.0829
_cell_angle_alpha 90.00
_cell_angle_beta 90.00
_cell_angle_gamma 90.00
loop_
_atom_site_label
_atom_site_type_symbol
_atom_site_fract_x
_atom_site_fract_y
_atom_site_fract_z
Pm1 Pm 0.0000 0.0000 0.0000
Pm2 Pm 0.0000 0.5000 0.3185
Dy1 Dy 0.0000 0.0000 0.5000
Dy2 Dy 0.0000 0.2970 0.5000
Y1 Y 0.0000 0.1594 0.2791
Y2 Y 0.0000 0.3416 0.1029
# * calculated density: 5.84 Mg/m³

=====

Of them, the most stable is #x and the least stable is #w.